No. 1
PrSmB2Os2N2 (PBE-GGA, relaxed); DFT total energy = -8.60 eV/atom; SG = No. 99
1.0
-1.697 1.909 -2.700
1.667 -2.127 -2.551
-6.079 -5.057 0.244
B N Os Pr Sm
2 2 2 1 1
Direct
0.000 0.000 0.336 B
0.500 0.500 0.665 B
0.000 0.000 0.147 N
0.500 0.500 0.855 N
0.500 0.000 0.499 Os
0.000 0.500 0.499 Os
0.000 0.000 0.837 Pr
0.500 0.500 0.163 Sm



No. 2
ErTm4Lu2Ni2Se2 (PBE-GGA, relaxed); DFT total energy = -5.34 eV/atom; SG = No. 44
1.0
-0.739 -7.758 4.325
-7.365 4.915 -1.022
6.274 -5.838 -2.448
Er Lu Ni Se Tm
1 2 2 2 4
Direct
0.993 0.993 0.000 Er
0.691 0.376 0.315 Lu
0.060 0.376 0.685 Lu
0.309 0.070 0.238 Ni
0.832 0.070 0.762 Ni
0.335 0.335 0.000 Se
0.736 0.236 0.500 Se
0.708 0.582 0.126 Tm
0.094 0.734 0.359 Tm
0.375 0.734 0.641 Tm
0.456 0.582 0.874 Tm



No. 3
Al2Ag2Bi2S3Cl8 (PBE-GGA, relaxed); DFT total energy = -3.82 eV/atom; SG = No. 190
1.0
-3.757 2.254 -5.418
-2.864 -0.291 6.346
6.796 21.019 4.030
Ag Al Bi Cl S
4 4 4 16 6
Direct
0.000 0.000 0.250 Ag
0.333 0.667 0.250 Ag
0.000 0.000 0.750 Ag
0.667 0.333 0.750 Ag
0.333 0.667 0.080 Al
0.333 0.667 0.420 Al
0.667 0.333 0.580 Al
0.667 0.333 0.920 Al
0.667 0.333 0.172 Bi
0.667 0.333 0.328 Bi
0.333 0.667 0.672 Bi
0.333 0.667 0.828 Bi
0.667 0.333 0.015 Cl
0.251 0.344 0.115 Cl
0.093 0.749 0.115 Cl
0.656 0.907 0.115 Cl
0.251 0.344 0.385 Cl
0.093 0.749 0.385 Cl
0.656 0.907 0.385 Cl
0.667 0.333 0.485 Cl
0.333 0.667 0.515 Cl
0.749 0.093 0.615 Cl
0.344 0.251 0.615 Cl
0.907 0.656 0.615 Cl
0.749 0.093 0.885 Cl
0.344 0.251 0.885 Cl
0.907 0.656 0.885 Cl
0.333 0.667 0.985 Cl
0.379 0.047 0.250 S
0.953 0.332 0.250 S
0.668 0.621 0.250 S
0.047 0.379 0.750 S
0.621 0.668 0.750 S
0.332 0.953 0.750 S



No. 4
BaNd2As2 (PBE-GGA, relaxed); DFT total energy = -5.17 eV/atom; SG = No. 164
1.0
4.777 0.000 0.000
-2.389 4.137 0.000
0.000 0.000 8.516
As Ba Nd
2 1 2
Direct
0.333 0.667 0.245 As
0.667 0.333 0.755 As
0.000 0.000 0.000 Ba
0.667 0.333 0.367 Nd
0.333 0.667 0.633 Nd



No. 5
Ba2PrBiO6 (PBE-GGA, relaxed); DFT total energy = -6.57 eV/atom; SG = No. 12
1.0
-4.662 -2.880 2.846
5.294 -2.983 -1.046
0.414 -1.304 6.057
Ba Bi O Pr
2 1 6 1
Direct
0.008 0.256 0.240 Ba
0.992 0.744 0.760 Ba
0.500 0.000 0.000 Bi
0.024 0.721 0.193 O
0.504 0.721 0.193 O
0.423 0.160 0.313 O
0.577 0.840 0.687 O
0.496 0.279 0.807 O
0.976 0.279 0.807 O
0.500 0.500 0.500 Pr



No. 6
Li4Cu (PBE-GGA, relaxed); DFT total energy = -2.24 eV/atom; SG = No. 74
1.0
7.120 -1.670 -1.158
5.792 4.034 2.238
-6.236 -3.503 1.914
Cu Li
2 8
Direct
0.141 0.891 0.250 Cu
0.859 0.109 0.750 Cu
0.500 0.500 0.000 Li
0.714 0.699 0.015 Li
0.346 0.096 0.250 Li
0.183 0.699 0.485 Li
0.000 0.500 0.500 Li
0.817 0.301 0.515 Li
0.654 0.904 0.750 Li
0.286 0.301 0.985 Li



No. 7
CuReTcSn (PBE-GGA, relaxed); DFT total energy = -7.27 eV/atom; SG = No. 216
1.0
0.000 3.135 3.135
3.135 0.000 3.135
3.135 3.135 0.000
Cu Re Sn Tc
1 1 1 1
Direct
0.750 0.750 0.750 Cu
0.500 0.500 0.500 Re
0.000 0.000 0.000 Sn
0.250 0.250 0.250 Tc



No. 8
Dy2Zn17 (PBE-GGA, relaxed); DFT total energy = -1.85 eV/atom; SG = No. 194
1.0
-3.179 3.330 -7.659
-5.632 -2.357 6.526
0.465 8.057 3.310
Dy Zn
4 34
Direct
0.000 0.000 0.250 Dy
0.667 0.333 0.250 Dy
0.000 0.000 0.750 Dy
0.333 0.667 0.750 Dy
0.500 0.000 0.000 Zn
0.000 0.500 0.000 Zn
0.500 0.500 0.000 Zn
0.323 0.161 0.022 Zn
0.839 0.161 0.022 Zn
0.839 0.677 0.022 Zn
0.333 0.667 0.101 Zn
0.039 0.367 0.250 Zn
0.329 0.367 0.250 Zn
0.039 0.671 0.250 Zn
0.633 0.671 0.250 Zn
0.329 0.961 0.250 Zn
0.633 0.961 0.250 Zn
0.333 0.667 0.399 Zn
0.323 0.161 0.478 Zn
0.839 0.161 0.478 Zn
0.839 0.677 0.478 Zn
0.500 0.000 0.500 Zn
0.000 0.500 0.500 Zn
0.500 0.500 0.500 Zn
0.161 0.323 0.522 Zn
0.161 0.839 0.522 Zn
0.677 0.839 0.522 Zn
0.667 0.333 0.601 Zn
0.367 0.039 0.750 Zn
0.671 0.039 0.750 Zn
0.367 0.329 0.750 Zn
0.961 0.329 0.750 Zn
0.671 0.633 0.750 Zn
0.961 0.633 0.750 Zn
0.667 0.333 0.899 Zn
0.161 0.323 0.978 Zn
0.161 0.839 0.978 Zn
0.677 0.839 0.978 Zn